[1]
Density functional theory data (PBE) for a relaxed La3PmNdY crystal.

Cell and atoms, written as POSCAR:
```
La3PmNdY
1.0
10.483 -2.977 0.000
10.483 2.977 0.000
-0.077 0.000 6.885
La Pm Nd Y
6 2 2 2
Direct
0.016 0.016 0.256
0.281 0.281 0.229
0.340 0.340 0.739
0.660 0.660 0.261
0.719 0.719 0.771
0.984 0.984 0.744
0.148 0.148 0.524
0.852 0.852 0.476
0.441 0.441 0.240
0.559 0.559 0.760
0.142 0.142 0.983
0.858 0.858 0.017
```


[2]
Density functional theory data (PBE) for a relaxed Dy5Y6Th crystal.

Cell and atoms, written as POSCAR:
```
Dy5Y6Th
1.0
3.087 -5.344 0.000
3.087 5.344 0.000
-2.055 0.000 11.621
Dy Y Th
5 6 1
Direct
0.000 0.000 0.000
0.167 0.833 0.500
0.333 0.667 0.000
0.667 0.333 0.000
0.833 0.167 0.500
0.087 0.417 0.251
0.253 0.253 0.749
0.417 0.087 0.251
0.583 0.913 0.749
0.747 0.747 0.251
0.913 0.583 0.749
0.500 0.500 0.500
```

Calculated values
The calculation puts the energy above the most stable polymorph in this dataset at 0 meV per atom.


Energy of formation from the pure elements: 0.15; 0.03 (eV per atom)